Entry 1:
# BaCdCl (PBE, optimized geometry)
# Symmetry ... F-43m (216)
# Polymorph energy (0 for the lowest one) ... 77 meV per atom
data_BaCdCl
_chemical_formula_sum 'Ba1 Cd1 Cl1'
_space_group_name_H-M_alt 'P 1'
_space_group_IT_number 1
_space_group_name_Hall 'P 1'
_cell_length_a 5.381
_cell_length_b 5.381
_cell_length_c 5.381
_cell_angle_alpha 60.00
_cell_angle_beta 60.00
_cell_angle_gamma 60.00
loop_
_atom_site_label
_atom_site_fract_x
_atom_site_fract_y
_atom_site_fract_z
Ba1 0.000 0.000 0.000
Cd1 0.500 0.500 0.500
Cl1 0.250 0.250 0.250

***

Entry 2:
# BaCdCl5 (PBE, optimized geometry)
# Symmetry ... C2/c (15)
# Uncorrected energy ... -3.102 eV per atom
data_BaCdCl5
_chemical_formula_sum 'Ba2 Cd2 Cl10'
_space_group_name_H-M_alt 'P 1'
_space_group_IT_number 1
_space_group_name_Hall 'P 1'
_cell_length_a 8.025
_cell_length_b 8.025
_cell_length_c 10.545
_cell_angle_alpha 121.23
_cell_angle_beta 121.23
_cell_angle_gamma 63.30
loop_
_atom_site_label
_atom_site_fract_x
_atom_site_fract_y
_atom_site_fract_z
Ba1 0.047 0.953 0.750
Ba2 0.953 0.047 0.250
Cd1 0.500 0.500 0.000
Cd2 0.500 0.500 0.500
Cl1 0.151 0.752 0.995
Cl2 0.196 0.367 0.409
Cl3 0.248 0.849 0.505
Cl4 0.367 0.196 0.909
Cl5 0.432 0.568 0.750
Cl6 0.568 0.432 0.250
Cl7 0.633 0.804 0.091
Cl8 0.752 0.151 0.495
Cl9 0.804 0.633 0.591
Cl10 0.849 0.248 0.005

***

Entry 3:
# Ba2Cd2Cl (PBE, optimized geometry)
# Symmetry ... P4/mbm (127)
# Uncorrected energy ... -2.278 eV per atom
data_Ba2Cd2Cl
_chemical_formula_sum 'Ba4 Cd4 Cl2'
_space_group_name_H-M_alt 'P 1'
_space_group_IT_number 1
_space_group_name_Hall 'P 1'
_cell_length_a 8.733
_cell_length_b 8.733
_cell_length_c 5.392
_cell_angle_alpha 90.00
_cell_angle_beta 90.00
_cell_angle_gamma 90.00
loop_
_atom_site_label
_atom_site_fract_x
_atom_site_fract_y
_atom_site_fract_z
Ba1 0.185 0.315 0.000
Ba2 0.315 0.815 0.000
Ba3 0.685 0.185 0.000
Ba4 0.815 0.685 0.000
Cd1 0.115 0.615 0.500
Cd2 0.385 0.115 0.500
Cd3 0.615 0.885 0.500
Cd4 0.885 0.385 0.500
Cl1 0.000 0.000 0.000
Cl2 0.500 0.500 0.000

***

Short version: total magnetic moment = 0.751, 0.942, 0.000 μB/f.u., in the order given.